[1]
# YCuPb | Alexandria | PBE-GGA | optimized geometry
data_YCuPb
_space_group_name_H-M_alt 'P 1'
_space_group_IT_number 1
_space_group_name_Hall 'P 1'
_cell_length_a 8.150
_cell_length_b 4.610
_cell_length_c 4.610
_cell_angle_alpha 119.97
_cell_angle_beta 106.54
_cell_angle_gamma 73.46
loop_
_atom_site_label
_atom_site_fract_x
_atom_site_fract_y
_atom_site_fract_z
Pb1 0.317 0.393 0.483
Pb2 0.786 0.570 0.305
Y1 0.057 0.813 0.062
Y2 0.555 0.980 0.895
Cu1 0.187 0.102 0.773
Cu2 0.849 0.215 0.660
# formation energy from the elements: -0.33 eV per atom
# Fermi-level density of states: 0.6672 states/eV per atom
# E_tot: -5.089 eV/atom
# symmetry: Cm



[2]
# Ho2CdAs | Alexandria | PBE-GGA | optimized geometry
data_Ho2CdAs
_space_group_name_H-M_alt 'P 1'
_space_group_IT_number 1
_space_group_name_Hall 'P 1'
_cell_length_a 3.850
_cell_length_b 3.850
_cell_length_c 10.009
_cell_angle_alpha 78.91
_cell_angle_beta 78.91
_cell_angle_gamma 60.00
loop_
_atom_site_label
_atom_site_fract_x
_atom_site_fract_y
_atom_site_fract_z
Ho1 0.891 0.891 0.327
Ho2 0.109 0.109 0.673
Cd1 0.000 0.000 0.000
As1 0.500 0.500 0.500
# formation energy from the elements: -0.44 eV per atom
# Fermi-level density of states: 1.1551 states/eV per atom
# E_tot: -4.121 eV/atom
# symmetry: R-3m